No. 1
## Ac4AsCBr2 (GGA-PBE)

Data for crystalline Ac4AsCBr2 at its relaxed geometry.

- final energy (eV per cell) = -42.061

abc: 7.599 4.240 8.148
angles: 90.00 107.12 90.00
Space group P2/m (No. 10)
Symmetry-distinct sites (fractional):
Ac 0.205 0.000 0.192 [2 per cell]
Ac 0.235 0.500 0.796 [2 per cell]
As 0.500 0.000 0.000 [1 per cell]
C 0.000 0.500 0.000 [1 per cell]
Br 0.000 0.000 0.500 [1 per cell]
Br 0.500 0.500 0.500 [1 per cell]


No. 2
## Sc8C3O (GGA-PBE)

Data for crystalline Sc8C3O at its relaxed geometry.

- final energy (eV per cell) = -187.582

abc: 11.429 6.599 6.637
angles: 90.00 125.10 90.00
Space group C2/m (No. 12)
Symmetry-distinct sites (fractional):
Sc 0.008 0.247 0.271 [8 per cell]
Sc 0.244 0.000 0.732 [4 per cell]
Sc 0.245 0.500 0.729 [4 per cell]
C 0.000 0.000 0.500 [2 per cell]
C 0.250 0.250 0.500 [4 per cell]
O 0.000 0.500 0.500 [2 per cell]


no.,volume (Å³/atom),DOS(E_F) (states/eV per cell)
1,31.36,3.43
2,17.06,14.94